No. 1
BeCr2Co: relaxed, PBE-GGA.

Cell lengths 2.4498, 3.4542, 4.9494 Å; angles 90.00, 90.00, 90.00 degrees
Last column: nearest neighbours and their distance in Å.
Space group Pmm2 (No. 25)
Asymmetric unit:
Be1 0.0000 0.0000 0.0000 (multiplicity 1)  4 Co 2.36, 6 Cr 2.40-2.55, 2 Be 2.45
Cr1 0.0000 0.0000 0.4857 (multiplicity 1)  2 Be 2.40-2.55, 6 Cr 2.45-2.50, 4 Co 2.52
Cr2 0.5000 0.5000 0.7537 (multiplicity 1)  1 Co 2.26, 4 Be 2.44, 6 Cr 2.45-2.50
Co1 0.5000 0.5000 0.2103 (multiplicity 1)  5 Cr 2.26-2.52, 4 Be 2.36, 2 Co 2.45


No. 2
Be2CrCo: relaxed, PBE-GGA.

Values from the calculation:
energy relative to the lowest polymorph listed for this composition	47.59	kJ per mole of atoms

Cell lengths 5.8857, 5.8857, 4.5837 Å; angles 90.00, 90.00, 90.00 degrees
Last column: nearest neighbours and their distance in Å.
Space group I-42d (No. 122)
Asymmetric unit:
Be1 0.2353 0.7500 0.1250 (multiplicity 8)  2 Co 2.10, 2 Cr 2.22, 2 Be 2.30
Cr1 0.0000 0.0000 0.5000 (multiplicity 4)  4 Be 2.22, 2 Co 2.29
Co1 0.0000 0.0000 0.0000 (multiplicity 4)  4 Be 2.10, 2 Cr 2.29


No. 3
Be2CrCo2: relaxed, PBE-GGA.

Values from the calculation:
energy relative to the lowest polymorph listed for this composition	0.00	kJ per mole of atoms

Cell lengths 6.1141, 6.1141, 2.5465 Å; angles 90.00, 90.00, 90.00 degrees
Last column: nearest neighbours and their distance in Å.
Space group P4/mbm (No. 127)
Asymmetric unit:
Be1 0.1219 0.3781 0.0000 (multiplicity 4)  1 Be 2.11, 6 Co 2.17-2.24
Cr1 0.0000 0.0000 0.0000 (multiplicity 2)  4 Be 2.43, 2 Cr 2.55, 8 Co 2.59
Co1 0.1742 0.6742 0.5000 (multiplicity 4)  6 Be 2.17-2.24


No. 4
BeCr2Co: relaxed, PBE-GGA.

Cell lengths 2.8905, 3.8363, 7.5876 Å; angles 90.00, 90.00, 90.00 degrees
Last column: nearest neighbours and their distance in Å.
Space group Cmm2 (No. 35)
Asymmetric unit:
Be1 0.0000 0.0000 0.0000 (multiplicity 2)  2 Co 2.24, 2 Cr 2.35, 4 Be 2.40
Cr1 0.0000 0.0000 0.5133 (multiplicity 2)  6 Cr 2.40-2.50, 2 Co 2.45
Cr2 0.0000 0.5000 0.2449 (multiplicity 2)  2 Be 2.35, 6 Cr 2.40-2.50
Co1 0.0000 0.5000 0.7742 (multiplicity 2)  2 Be 2.24, 4 Co 2.40, 2 Cr 2.45


No. 5
BeCrCo2: relaxed, PBE-GGA.

Cell lengths 3.8566, 3.8566, 2.7379 Å; angles 90.00, 90.00, 90.00 degrees
Last column: nearest neighbours and their distance in Å.
Space group P4/mmm (No. 123)
Asymmetric unit:
Be1 0.0000 0.0000 0.0000 (multiplicity 1)  8 Co 2.36
Cr1 0.5000 0.5000 0.0000 (multiplicity 1)  8 Co 2.36
Co1 0.0000 0.5000 0.5000 (multiplicity 2)  4 Cr 2.36, 4 Be 2.36


No. 6
BeCr2Co: relaxed, PBE-GGA.

Cell lengths 2.8441, 2.8441, 5.2247 Å; angles 90.00, 90.00, 90.00 degrees
Last column: nearest neighbours and their distance in Å.
Space group P4mm (No. 99)
Asymmetric unit:
Be1 0.0000 0.0000 0.0000 (multiplicity 1)  4 Co 2.29, 4 Cr 2.41
Cr1 0.0000 0.0000 0.5039 (multiplicity 1)  4 Cr 2.37, 4 Co 2.53, 2 Be 2.59-2.63
Cr2 0.5000 0.5000 0.7443 (multiplicity 1)  4 Cr 2.37, 4 Be 2.41, 1 Co 2.43
Co1 0.5000 0.5000 0.2085 (multiplicity 1)  4 Be 2.29, 5 Cr 2.43-2.53


No. 7
BeCrCo2: relaxed, PBE-GGA.

Cell lengths 2.5969, 3.9920, 7.6195 Å; angles 90.00, 90.00, 90.00 degrees
Last column: nearest neighbours and their distance in Å.
Space group Immm (No. 71)
Asymmetric unit:
Be1 0.0000 0.0000 0.0000 (multiplicity 2)  4 Co 2.19, 4 Cr 2.38
Cr1 0.0000 0.0000 0.5000 (multiplicity 2)  4 Be 2.38, 8 Co 2.43-2.66, 2 Cr 2.60
Co1 0.0000 0.5000 0.2692 (multiplicity 4)  2 Be 2.19, 4 Co 2.40, 2 Cr 2.43


No. 8
BeCr2Co: relaxed, PBE-GGA.

Cell lengths 2.4756, 2.4756, 24.1178 Å; angles 90.00, 90.00, 120.00 degrees
Last column: nearest neighbours and their distance in Å.
Space group R-3m (No. 166, hexagonal axes)
Asymmetric unit:
Be1 0.0000 0.0000 0.0000 (multiplicity 3)  6 Cr 2.46, 6 Be 2.48
Cr1 0.0000 0.0000 0.2502 (multiplicity 6)  3 Be 2.46, 3 Co 2.47, 6 Cr 2.48
Co1 0.0000 0.0000 0.5000 (multiplicity 3)  6 Cr 2.47, 6 Co 2.48


No. 9
BeCrCo: relaxed, PBE-GGA.

Values from the calculation:
energy relative to the lowest polymorph listed for this composition	41.70	kJ per mole of atoms

Cell lengths 5.1778, 5.1778, 5.1778 Å; angles 90.00, 90.00, 90.00 degrees
Last column: nearest neighbours and their distance in Å.
Space group F-43m (No. 216)
Asymmetric unit:
Be1 0.0000 0.0000 0.0000 (multiplicity 4)  4 Co 2.24
Cr1 0.0000 0.0000 0.5000 (multiplicity 4)  4 Co 2.24
Co1 0.2500 0.2500 0.7500 (multiplicity 4)  4 Cr 2.24, 4 Be 2.24


No. 10
Be2CrCo: relaxed, PBE-GGA.

Values from the calculation:
energy relative to the lowest polymorph listed for this composition	21.24	kJ per mole of atoms

Cell lengths 2.4494, 2.4494, 22.6084 Å; angles 90.00, 90.00, 120.00 degrees
Last column: nearest neighbours and their distance in Å.
Space group R-3m (No. 166, hexagonal axes)
Asymmetric unit:
Be1 0.0000 0.0000 0.2458 (multiplicity 6)  3 Co 2.28, 3 Cr 2.43, 6 Be 2.45
Cr1 0.0000 0.0000 0.0000 (multiplicity 3)  6 Be 2.43, 6 Cr 2.45
Co1 0.0000 0.0000 0.5000 (multiplicity 3)  6 Be 2.28, 6 Co 2.45


No. 11
Be2CrCo: relaxed, PBE-GGA.

Values from the calculation:
energy relative to the lowest polymorph listed for this composition	4.35	kJ per mole of atoms

Cell lengths 5.3442, 5.3442, 5.3442 Å; angles 90.00, 90.00, 90.00 degrees
Last column: nearest neighbours and their distance in Å.
Space group Fm-3m (No. 225)
Asymmetric unit:
Be1 0.2500 0.2500 0.2500 (multiplicity 8)  4 Cr 2.31, 4 Co 2.31
Cr1 0.0000 0.0000 0.0000 (multiplicity 4)  8 Be 2.31
Co1 0.0000 0.0000 0.5000 (multiplicity 4)  8 Be 2.31


No. 12
BeCrCo2: relaxed, PBE-GGA.

Cell lengths 5.4805, 5.4805, 5.4805 Å; angles 90.00, 90.00, 90.00 degrees
Last column: nearest neighbours and their distance in Å.
Space group F-43m (No. 216)
Asymmetric unit:
Be1 0.0000 0.0000 0.0000 (multiplicity 4)  4 Cr 2.37, 4 Co 2.37
Cr1 0.2500 0.2500 0.7500 (multiplicity 4)  4 Co 2.37, 4 Be 2.37
Co1 0.0000 0.0000 0.5000 (multiplicity 4)  4 Cr 2.37, 4 Co 2.37
Co2 0.2500 0.2500 0.2500 (multiplicity 4)  4 Co 2.37, 4 Be 2.37


No. 13
BeCr2Co: relaxed, PBE-GGA.

Cell lengths 2.9661, 2.9661, 4.8313 Å; angles 90.00, 90.00, 90.00 degrees
Last column: nearest neighbours and their distance in Å.
Space group P4/mmm (No. 123)
Asymmetric unit:
Be1 0.0000 0.0000 0.0000 (multiplicity 1)  8 Cr 2.34, 2 Co 2.42
Cr1 0.5000 0.5000 0.2144 (multiplicity 2)  1 Cr 2.07
Co1 0.0000 0.0000 0.5000 (multiplicity 1)  2 Be 2.42, 8 Cr 2.51


No. 14
Be2CrCo: relaxed, PBE-GGA.

Values from the calculation:
energy relative to the lowest polymorph listed for this composition	8.60	kJ per mole of atoms

Cell lengths 2.5686, 3.8147, 7.6209 Å; angles 90.00, 90.00, 90.00 degrees
Last column: nearest neighbours and their distance in Å.
Space group Imm2 (No. 44)
Asymmetric unit:
Be1 0.0000 0.0000 0.0000 (multiplicity 2)  2 Be 2.16, 2 Co 2.28, 4 Cr 2.30
Be2 0.0000 0.5000 0.2722 (multiplicity 2)  2 Be 2.16, 4 Co 2.31, 2 Cr 2.37
Cr1 0.0000 0.0000 0.5106 (multiplicity 2)  6 Be 2.30-2.37, 2 Co 2.38, 2 Cr 2.57
Co1 0.0000 0.5000 0.7472 (multiplicity 2)  6 Be 2.28-2.31, 2 Cr 2.38


No. 15
BeCrCo: relaxed, PBE-GGA.

Values from the calculation:
energy relative to the lowest polymorph listed for this composition	8.26	kJ per mole of atoms

Cell lengths 2.4779, 13.6557, 3.5062 Å; angles 90.00, 90.00, 90.00 degrees
Last column: nearest neighbours and their distance in Å.
Space group Cmcm (No. 63)
Asymmetric unit:
Be1 0.0000 0.0405 0.2500 (multiplicity 4)  2 Be 2.07, 1 Cr 2.30, 4 Co 2.32
Cr1 0.0000 0.2087 0.2500 (multiplicity 4)  1 Be 2.30, 6 Cr 2.43-2.48, 1 Co 2.56
Co1 0.0000 0.3960 0.2500 (multiplicity 4)  6 Be 2.32-2.33, 2 Co 2.48, 5 Cr 2.56-2.58


No. 16
Be2CrCo: relaxed, PBE-GGA.

Values from the calculation:
energy relative to the lowest polymorph listed for this composition	18.23	kJ per mole of atoms

Cell lengths 8.4657, 2.5433, 4.0129 Å; angles 90.00, 115.87, 90.00 degrees
Last column: nearest neighbours and their distance in Å.
Space group C2/m (No. 12)
Asymmetric unit:
Be1 0.2390 0.0000 0.2372 (multiplicity 4)  2 Co 2.22, 2 Cr 2.36, 4 Be 2.36-2.40
Cr1 0.0000 0.0000 0.5000 (multiplicity 2)  4 Be 2.36, 4 Co 2.38, 2 Cr 2.54
Co1 0.0000 0.5000 0.0000 (multiplicity 2)  4 Be 2.22, 4 Cr 2.38


No. 17
BeCr2Co: relaxed, PBE-GGA.

Cell lengths 5.5225, 5.5225, 5.5225 Å; angles 90.00, 90.00, 90.00 degrees
Last column: nearest neighbours and their distance in Å.
Space group F-43m (No. 216)
Asymmetric unit:
Be1 0.0000 0.0000 0.0000 (multiplicity 4)  4 Co 2.39, 4 Cr 2.39
Cr1 0.0000 0.0000 0.5000 (multiplicity 4)  4 Cr 2.39, 4 Co 2.39
Cr2 0.2500 0.2500 0.7500 (multiplicity 4)  4 Be 2.39, 4 Cr 2.39
Co1 0.2500 0.2500 0.2500 (multiplicity 4)  4 Cr 2.39, 4 Be 2.39


No. 18
BeCr4Co: relaxed, PBE-GGA.

Cell lengths 6.5253, 6.5253, 6.5253 Å; angles 90.00, 90.00, 90.00 degrees
Last column: nearest neighbours and their distance in Å.
Space group F-43m (No. 216)
Asymmetric unit:
Be1 0.0000 0.0000 0.0000 (multiplicity 4)  12 Cr 2.70, 4 Co 2.83
Cr1 0.1266 0.1266 0.3734 (multiplicity 16)  6 Cr 2.28-2.34
Co1 0.2500 0.2500 0.7500 (multiplicity 4)  12 Cr 2.71, 4 Be 2.83


No. 19
BeCrCo2: relaxed, PBE-GGA.

Cell lengths 8.1976, 2.5645, 4.0086 Å; angles 90.00, 106.96, 90.00 degrees
Last column: nearest neighbours and their distance in Å.
Space group Cm (No. 8)
Asymmetric unit:
Be1 0.0000 0.0000 0.0000 (multiplicity 2)  7 Co 2.23-2.40, 2 Cr 2.49
Cr1 0.2530 0.5000 0.3474 (multiplicity 2)  7 Co 2.31-2.42, 2 Be 2.49, 2 Cr 2.56
Co1 0.0046 0.5000 0.5099 (multiplicity 2)  3 Cr 2.31-2.35, 4 Be 2.36-2.40, 4 Co 2.55-2.56
Co2 0.2666 0.0000 0.8656 (multiplicity 2)  3 Be 2.23-2.40, 4 Cr 2.35-2.42


No. 20
BeCrCo2: relaxed, PBE-GGA.

Cell lengths 2.5247, 3.1533, 5.0247 Å; angles 90.00, 90.00, 90.00 degrees
Last column: nearest neighbours and their distance in Å.
Space group Pmmm (No. 47)
Asymmetric unit:
Be1 0.0000 0.0000 0.0000 (multiplicity 1)  8 Co 2.35, 2 Cr 2.51, 2 Be 2.52
Cr1 0.0000 0.0000 0.5000 (multiplicity 1)  8 Co 2.41, 2 Be 2.51, 2 Cr 2.52
Co1 0.5000 0.5000 0.2386 (multiplicity 2)  4 Be 2.35, 4 Co 2.40-2.63, 4 Cr 2.41


Number 1: VASP energy -7.454 eV/atom, Fermi-level density of states 0.968 states/eV per atom. Number 2: VASP energy -5.679 eV/atom, Fermi-level density of states 0.721 states/eV per atom. Number 3: VASP energy -6.390 eV/atom, Fermi-level density of states 0.746 states/eV per atom. Number 4: VASP energy -7.490 eV/atom, Fermi-level density of states 1.071 states/eV per atom. Number 5: VASP energy -6.909 eV/atom, Fermi-level density of states 1.277 states/eV per atom. Number 6: VASP energy -7.519 eV/atom, Fermi-level density of states 0.765 states/eV per atom. Number 7: VASP energy -6.897 eV/atom, Fermi-level density of states 1.100 states/eV per atom. Number 8: VASP energy -7.334 eV/atom, Fermi-level density of states 1.078 states/eV per atom. Number 9: VASP energy -6.492 eV/atom, Fermi-level density of states 1.701 states/eV per atom. Number 10: VASP energy -5.952 eV/atom, Fermi-level density of states 0.997 states/eV per atom. Number 11: VASP energy -6.127 eV/atom, Fermi-level density of states 0.951 states/eV per atom. Number 12: VASP energy -6.801 eV/atom, Fermi-level density of states 1.150 states/eV per atom. Number 13: VASP energy -7.397 eV/atom, Fermi-level density of states 1.103 states/eV per atom. Number 14: VASP energy -6.083 eV/atom, Fermi-level density of states 0.784 states/eV per atom. Number 15: VASP energy -6.839 eV/atom, Fermi-level density of states 0.715 states/eV per atom. Number 16: VASP energy -5.983 eV/atom, Fermi-level density of states 0.722 states/eV per atom. Number 17: VASP energy -7.493 eV/atom, Fermi-level density of states 0.833 states/eV per atom. Number 18: VASP energy -7.859 eV/atom, Fermi-level density of states 1.148 states/eV per atom. Number 19: VASP energy -6.909 eV/atom, Fermi-level density of states 1.175 states/eV per atom. Number 20: VASP energy -6.964 eV/atom, Fermi-level density of states 0.754 states/eV per atom.